Computed, not measured: a geometry-optimized SrHoAlIn structure at the PBE level of DFT.

Its formation energy from the elements is -99 kJ/mol of formula units. Its calculated total energy is -55.1 eV per cell. The value obtained for the volume is 28.1 Å³ per atom. For the calculated density, the calculation gives 5.823 g/cm³.

The structure belongs to space group F-43m (No. 216); the cell edges are 7.662, 7.662 and 7.662 Å and the angles 90.00°, 90.00° and 90.00°. The distinct sites, in fractional coordinates, are Sr at (0.000, 0.000, 0.000), Ho at (0.000, 0.000, 0.500), Al at (0.250, 0.250, 0.750) and In at (0.250, 0.250, 0.250).


Computed, not measured: a geometry-optimized TbHoAlIn structure at the PBE level of DFT.

Its formation energy from the elements is -159 kJ/mol of formula units. Its calculated total energy is -69.3 eV per cell. For the energy above the most stable polymorph in this dataset, the calculation gives 11 meV per atom. The value obtained for the volume is 25.1 Å³ per atom. For the calculated density, the calculation gives 7.712 g/cm³.

The structure belongs to space group F-43m (No. 216); the cell edges are 7.375, 7.375 and 7.375 Å and the angles 90.00°, 90.00° and 90.00°. The distinct sites, in fractional coordinates, are Tb at (0.000, 0.000, 0.000), Ho at (0.000, 0.000, 0.500), Al at (0.250, 0.250, 0.750) and In at (0.250, 0.250, 0.250).